Compound: Mg2HgCl
Source: Alexandria
Functional: PBE-GGA
Structure: optimized geometry

The calculation puts the formation energy from raw total energies at -0.5593 eV/atom. The total magnetic moment comes out at 0.00 μB/f.u. The value obtained for the energy above the most stable polymorph in this dataset is 73 meV/atom.

It has space group Pm (No. 6), with a = 3.325 Å, b = 5.173 Å, c = 5.197 Å, α = 90.00°, β = 90.07° and γ = 90.00°. The inequivalent atoms are Mg at (0.000, 0.000, 0.000), Mg at (0.003, 0.500, 0.502), Hg at (0.502, 0.000, 0.500) and Cl at (0.000, 0.500, 0.001).